SrGeP2 | GGA-PBE | relaxed

Spin magnetization in μB per atom: 0.000
Formation enthalpy at 0 K in eV per atom: -0.57
Total DFT energy (no corrections) in Ry per atom: -0.356

Unit cell a=7.524 b=7.524 c=14.192 alpha=82.54 beta=82.54 gamma=89.58
Element x y z (fractional)
Sr 0.658 0.750 0.880
Sr 0.188 0.846 0.608
Sr 0.250 0.342 0.620
Sr 0.154 0.812 0.892
Sr 0.750 0.658 0.380
Sr 0.342 0.250 0.120
Sr 0.812 0.154 0.392
Sr 0.846 0.188 0.108
P 0.944 0.056 0.750
P 0.315 0.640 0.442
P 0.056 0.944 0.250
P 0.433 0.044 0.754
P 0.567 0.956 0.246
P 0.772 0.854 0.560
P 0.416 0.584 0.750
P 0.854 0.772 0.060
P 0.956 0.567 0.746
P 0.146 0.228 0.940
P 0.360 0.685 0.058
P 0.228 0.146 0.440
P 0.044 0.433 0.254
P 0.640 0.315 0.942
P 0.584 0.416 0.250
P 0.685 0.360 0.558
Ge 0.706 0.581 0.660
Ge 0.294 0.419 0.340
Ge 0.085 0.709 0.158
Ge 0.291 0.915 0.342
Ge 0.581 0.706 0.160
Ge 0.419 0.294 0.840
Ge 0.709 0.085 0.658
Ge 0.915 0.291 0.842